This record from Alexandria describes Mg2Nb2FeO8 after structural relaxation. The functional is PBE with a Hubbard U.

Cell: 5.1850 6.0683 10.1346 Å, 107.43 89.71 89.99°
Closest atoms and distances in Å follow each position.
Positions (direct):
O  0.5841  0.4337  0.1186  1 Nb 1.85
Nb  0.7605  0.0533  0.7657  5 O 1.85-2.07
O  0.0842  0.6861  0.1186  1 Nb 1.85
Mg  0.2539  0.1306  0.5403  5 O 2.01-2.22
Mg  0.7540  0.4105  0.5402  5 O 2.01-2.22
Nb  0.2606  0.7133  0.7657  5 O 1.85-2.08
O  0.0445  0.9164  0.6220  2 Mg 2.05-2.22, 1 Nb 2.06
O  0.4585  0.2938  0.3765  2 Mg 2.05-2.22, 1 Nb 2.06
Nb  0.7426  0.2870  0.2328  5 O 1.85-2.08
O  0.1168  0.4540  0.6169  1 Nb 1.97, 3 Mg 2.01-2.13
O  0.5793  0.9645  0.1445  2 Nb 1.97-2.08, 1 Fe 2.20
O  0.6168  0.1639  0.6169  1 Nb 1.97, 3 Mg 2.01-2.12
O  0.9190  0.3144  0.8799  1 Nb 1.85
O  0.9240  0.8193  0.8540  2 Nb 1.97-2.07, 1 Fe 2.20
O  0.4191  0.5665  0.8799  1 Nb 1.85
O  0.4240  0.0358  0.8540  2 Nb 1.97-2.08, 1 Fe 2.20
O  0.8861  0.5464  0.3816  1 Nb 1.97, 3 Mg 2.01-2.13
Mg  0.2489  0.5898  0.4583  5 O 2.01-2.22
O  0.9585  0.0840  0.3765  2 Mg 2.05-2.22, 1 Nb 2.06
O  0.3861  0.8364  0.3816  1 Nb 1.97, 3 Mg 2.01-2.12
Mg  0.7489  0.8698  0.4581  5 O 2.01-2.22
Fe  0.7516  0.6549  0.9992  6 O 2.09-2.23
O  0.5445  0.7065  0.6221  2 Mg 2.05-2.22, 1 Nb 2.06
Nb  0.2427  0.9471  0.2328  5 O 1.85-2.07
O  0.0792  0.1811  0.1445  2 Nb 1.97-2.07, 1 Fe 2.20
Fe  0.2516  0.3454  0.9992  6 O 2.09-2.23

Summary:
Total DFT energy (no corrections), eV per atom: -7.744
ρ, Mg/m³: 4.57
Space-group type: C2/c (15)